No. 1
ScCr2AgH4O10: relaxed, PBEsol.

```
ScCr2AgH4O10
1.0
5.595 0.000 0.000
-2.730 5.460 0.000
-0.119 -2.684 6.506
Sc Cr Ag H O
1 2 1 4 10
Direct
0.000 0.000 0.000 Sc
0.363 0.766 0.675 Cr
0.637 0.234 0.325 Cr
0.000 0.000 0.500 Ag
0.231 0.474 0.942 H
0.289 0.544 0.196 H
0.711 0.456 0.804 H
0.769 0.526 0.058 H
0.164 0.916 0.735 O
0.209 0.403 0.053 O
0.220 0.489 0.712 O
0.326 0.039 0.179 O
0.391 0.705 0.438 O
0.609 0.295 0.562 O
0.674 0.961 0.821 O
0.780 0.511 0.288 O
0.791 0.597 0.947 O
0.836 0.084 0.265 O
```

Output
electronic total energy = -125.24 eV per formula unit
size of the total moment = 0.000 μB/atom
mass density = 3.515 g/cm3


No. 2
BaIn2Co: relaxed, PBEsol.

```
BaIn2Co
1.0
5.889 0.000 0.000
0.000 10.794 0.000
0.000 0.000 3.131
Ba In Co
2 4 2
Direct
0.000 0.000 0.000 Ba
0.500 0.500 0.000 Ba
0.250 0.250 0.500 In
0.250 0.750 0.500 In
0.750 0.250 0.500 In
0.750 0.750 0.500 In
0.000 0.500 0.000 Co
0.500 0.000 0.000 Co
```

Output
calculated formation energy = 0.489 eV per atom
size of the total moment = 0.353 μB/atom
mass density = 7.107 g/cm3
D(E_F) = 5.6 states/eV/f.u.


No. 3
BaBeAs3: relaxed, PBEsol.

```
BaBeAs3
1.0
4.741 0.000 0.000
0.000 4.741 0.000
0.000 0.000 4.741
Ba Be As
1 1 3
Direct
0.000 0.000 0.000 Ba
0.500 0.500 0.500 Be
0.000 0.500 0.500 As
0.500 0.000 0.500 As
0.500 0.500 0.000 As
```

Output
calculated formation energy = -0.193 eV per atom
size of the total moment = 0.000 μB/atom
mass density = 5.783 g/cm3
D(E_F) = 3.2 states/eV/f.u.


No. 4
MgInPb2: relaxed, PBEsol.

```
MgInPb2
1.0
3.478 0.000 0.000
0.000 5.791 0.000
0.000 0.000 10.761
Mg In Pb
2 2 4
Direct
0.000 0.000 0.000 Mg
0.500 0.500 0.000 Mg
0.000 0.500 0.228 In
0.500 0.000 0.228 In
0.000 0.000 0.485 Pb
0.000 0.500 0.761 Pb
0.500 0.000 0.761 Pb
0.500 0.500 0.485 Pb
```

Output
calculated formation energy = 0.008 eV per atom
size of the total moment = 0.000 μB/atom
mass density = 8.482 g/cm3
D(E_F) = 1.5 states/eV/f.u.


No. 5
Hg2IrPb: relaxed, PBEsol.

```
Hg2IrPb
1.0
3.108 0.000 0.000
-1.554 2.692 0.000
0.000 0.000 30.645
Hg Ir Pb
6 3 3
Direct
0.000 0.000 0.000 Hg
0.000 0.000 0.245 Hg
0.333 0.667 0.667 Hg
0.333 0.667 0.911 Hg
0.667 0.333 0.333 Hg
0.667 0.333 0.578 Hg
0.000 0.000 0.739 Ir
0.333 0.667 0.406 Ir
0.667 0.333 0.072 Ir
0.000 0.000 0.477 Pb
0.333 0.667 0.143 Pb
0.667 0.333 0.810 Pb
```

Output
calculated formation energy = 0.344 eV per atom
size of the total moment = 0.000 μB/atom
mass density = 15.554 g/cm3
D(E_F) = 1.5 states/eV/f.u.


No. 6
As3Pb2ClO6: relaxed, PBEsol.

```
As3Pb2ClO6
1.0
19.241 0.000 0.000
0.000 5.381 0.000
0.000 0.000 8.184
As Pb Cl O
12 8 4 24
Direct
0.043 0.250 0.184 As
0.170 0.750 0.761 As
0.181 0.250 0.963 As
0.319 0.750 0.463 As
0.330 0.250 0.261 As
0.457 0.750 0.684 As
0.543 0.250 0.316 As
0.670 0.750 0.739 As
0.681 0.250 0.537 As
0.819 0.750 0.037 As
0.830 0.250 0.239 As
0.957 0.750 0.816 As
0.060 0.250 0.610 Pb
0.143 0.750 0.339 Pb
0.357 0.250 0.839 Pb
0.440 0.750 0.110 Pb
0.560 0.250 0.890 Pb
0.643 0.750 0.161 Pb
0.857 0.250 0.661 Pb
0.940 0.750 0.390 Pb
0.218 0.250 0.556 Cl
0.282 0.750 0.056 Cl
0.718 0.250 0.944 Cl
0.782 0.750 0.444 Cl
0.046 0.007 0.332 O
0.046 0.493 0.332 O
0.106 0.750 0.607 O
0.127 0.003 0.878 O
0.127 0.497 0.878 O
0.140 0.250 0.161 O
0.360 0.750 0.661 O
0.373 0.503 0.378 O
0.373 0.997 0.378 O
0.394 0.250 0.107 O
0.454 0.507 0.832 O
0.454 0.993 0.832 O
0.546 0.007 0.168 O
0.546 0.493 0.168 O
0.606 0.750 0.893 O
0.627 0.003 0.622 O
0.627 0.497 0.622 O
0.640 0.250 0.339 O
0.860 0.750 0.839 O
0.873 0.503 0.122 O
0.873 0.997 0.122 O
0.894 0.250 0.393 O
0.954 0.507 0.668 O
0.954 0.993 0.668 O
```

Output
uncorrected formation energy = -1228 meV/atom
size of the total moment = 0.000 μB/atom
mass density = 6.041 g/cm3
D(E_F) = 0.0 states/eV/f.u.


No. 7
Tc2P: relaxed, PBEsol.

```
Tc2P
1.0
10.189 0.000 0.000
0.000 2.906 0.000
-1.244 0.000 5.316
Tc P
8 4
Direct
0.035 0.000 0.277 Tc
0.187 0.500 0.650 Tc
0.313 0.000 0.350 Tc
0.465 0.500 0.723 Tc
0.535 0.500 0.277 Tc
0.687 0.000 0.650 Tc
0.813 0.500 0.350 Tc
0.965 0.000 0.723 Tc
0.148 0.500 0.058 P
0.352 0.000 0.942 P
0.648 0.000 0.058 P
0.852 0.500 0.942 P
```

Output
calculated formation energy = -0.486 eV per atom
size of the total moment = 0.000 μB/atom
mass density = 9.577 g/cm3
D(E_F) = 1.5 states/eV/f.u.
distance to the lowest polymorph of the same formula = 0.0073 eV/atom


No. 8
CoIrPt2: relaxed, PBEsol.

```
CoIrPt2
1.0
2.674 0.000 0.000
0.000 4.641 0.000
0.000 0.000 9.099
Co Ir Pt
2 2 4
Direct
0.000 0.000 0.000 Co
0.500 0.500 0.000 Co
0.000 0.500 0.228 Ir
0.500 0.000 0.228 Ir
0.000 0.000 0.491 Pt
0.000 0.500 0.761 Pt
0.500 0.000 0.761 Pt
0.500 0.500 0.491 Pt
```

Output
calculated formation energy = 0.176 eV per atom
size of the total moment = 0.517 μB/atom
mass density = 18.861 g/cm3
D(E_F) = 5.7 states/eV/f.u.
distance to the lowest polymorph of the same formula = 0.1739 eV/atom


No. 9
Mn2CoMo: relaxed, PBEsol.

```
Mn2CoMo
1.0
2.564 0.000 0.000
-1.282 2.221 0.000
0.000 0.000 24.791
Mn Co Mo
6 3 3
Direct
0.000 0.000 0.000 Mn
0.000 0.000 0.258 Mn
0.333 0.667 0.667 Mn
0.333 0.667 0.925 Mn
0.667 0.333 0.333 Mn
0.667 0.333 0.592 Mn
0.000 0.000 0.512 Co
0.333 0.667 0.179 Co
0.667 0.333 0.846 Co
0.000 0.000 0.758 Mo
0.333 0.667 0.425 Mo
0.667 0.333 0.092 Mo
```

Output
calculated formation energy = 0.246 eV per atom
size of the total moment = 0.265 μB/atom
mass density = 9.343 g/cm3
D(E_F) = 4.2 states/eV/f.u.


No. 10
Zr2ScTe: relaxed, PBEsol.

```
Zr2ScTe
1.0
6.026 0.000 0.000
0.000 8.333 0.000
0.000 0.000 3.438
Zr Sc Te
4 2 2
Direct
0.250 0.250 0.000 Zr
0.250 0.750 0.000 Zr
0.750 0.250 0.000 Zr
0.750 0.750 0.000 Zr
0.000 0.000 0.500 Sc
0.500 0.500 0.500 Sc
0.000 0.500 0.500 Te
0.500 0.000 0.500 Te
```

Output
uncorrected formation energy = -403 meV/atom
size of the total moment = 0.000 μB/atom
mass density = 6.829 g/cm3
D(E_F) = 3.8 states/eV/f.u.


No. 11
CdTe: relaxed, PBEsol.

```
CdTe
1.0
3.040 0.000 0.000
0.000 3.040 0.000
0.000 0.000 6.109
Cd Te
1 1
Direct
0.000 0.000 0.000 Cd
0.000 0.000 0.500 Te
```

Output
uncorrected formation energy = 54 meV/atom
size of the total moment = 0.000 μB/atom
mass density = 7.060 g/cm3
D(E_F) = 1.1 states/eV/f.u.


No. 12
Ho5P12Ru19: relaxed, PBEsol.

```
Ho5P12Ru19
1.0
12.375 0.000 0.000
-6.187 10.717 0.000
0.000 0.000 3.910
Ho P Ru
5 12 19
Direct
0.000 0.184 0.000 Ho
0.184 0.000 0.000 Ho
0.333 0.667 0.500 Ho
0.667 0.333 0.500 Ho
0.816 0.816 0.000 Ho
0.000 0.373 0.500 P
0.000 0.816 0.500 P
0.171 0.693 0.000 P
0.184 0.184 0.500 P
0.307 0.478 0.000 P
0.373 0.000 0.500 P
0.478 0.307 0.000 P
0.522 0.829 0.000 P
0.627 0.627 0.500 P
0.693 0.171 0.000 P
0.816 0.000 0.500 P
0.829 0.522 0.000 P
0.000 0.000 0.500 Ru
0.000 0.556 0.500 Ru
0.000 0.718 0.000 Ru
0.125 0.491 0.000 Ru
0.185 0.808 0.500 Ru
0.192 0.377 0.500 Ru
0.282 0.282 0.000 Ru
0.366 0.875 0.000 Ru
0.377 0.192 0.500 Ru
0.444 0.444 0.500 Ru
0.491 0.125 0.000 Ru
0.509 0.634 0.000 Ru
0.556 0.000 0.500 Ru
0.623 0.815 0.500 Ru
0.634 0.509 0.000 Ru
0.718 0.000 0.000 Ru
0.808 0.185 0.500 Ru
0.815 0.623 0.500 Ru
0.875 0.366 0.000 Ru
```

Output
calculated formation energy = -0.899 eV per atom
size of the total moment = 0.000 μB/atom
mass density = 9.981 g/cm3
D(E_F) = 19.9 states/eV/f.u.


No. 13
MgZrSc2: relaxed, PBEsol.

```
MgZrSc2
1.0
3.161 0.000 0.000
0.000 4.494 0.000
0.000 0.000 6.384
Mg Zr Sc
1 1 2
Direct
0.000 0.000 0.000 Mg
0.500 0.500 0.740 Zr
0.000 0.000 0.515 Sc
0.500 0.500 0.257 Sc
```

Output
calculated formation energy = 0.047 eV per atom
size of the total moment = 0.000 μB/atom
mass density = 3.762 g/cm3
D(E_F) = 5.7 states/eV/f.u.


No. 14
NaInCu2C: relaxed, PBEsol.

```
NaInCu2C
1.0
4.745 0.000 0.000
0.000 4.745 0.000
0.000 0.000 5.705
Na In Cu C
1 1 2 1
Direct
0.000 0.000 0.000 Na
0.000 0.000 0.500 In
0.000 0.500 0.500 Cu
0.500 0.000 0.500 Cu
0.500 0.500 0.000 C
```

Output
calculated formation energy = 2.008 eV per atom
size of the total moment = 0.358 μB/atom
mass density = 3.580 g/cm3
D(E_F) = 3.3 states/eV/f.u.


No. 15
Y2CdTc: relaxed, PBEsol.

```
Y2CdTc
1.0
3.422 0.000 0.000
-1.711 2.964 0.000
0.000 0.000 27.521
Y Cd Tc
6 3 3
Direct
0.000 0.000 0.239 Y
0.000 0.000 0.761 Y
0.333 0.667 0.428 Y
0.333 0.667 0.906 Y
0.667 0.333 0.094 Y
0.667 0.333 0.572 Y
0.000 0.000 0.000 Cd
0.333 0.667 0.667 Cd
0.667 0.333 0.333 Cd
0.000 0.000 0.500 Tc
0.333 0.667 0.167 Tc
0.667 0.333 0.833 Tc
```

Output
calculated formation energy = 0.095 eV per atom
size of the total moment = 0.000 μB/atom
mass density = 6.929 g/cm3
D(E_F) = 3.7 states/eV/f.u.


No. 16
ZnP2H6O5: relaxed, PBEsol.

```
ZnP2H6O5
1.0
7.403 0.000 0.000
0.000 7.705 0.000
-2.866 0.000 9.794
Zn P H O
4 8 24 20
Direct
0.205 0.046 0.101 Zn
0.205 0.454 0.601 Zn
0.795 0.546 0.399 Zn
0.795 0.954 0.899 Zn
0.023 0.216 0.322 P
0.023 0.284 0.822 P
0.456 0.118 0.676 P
0.456 0.382 0.176 P
0.544 0.618 0.824 P
0.544 0.882 0.324 P
0.977 0.716 0.178 P
0.977 0.784 0.678 P
0.153 0.095 0.400 H
0.153 0.405 0.900 H
0.158 0.643 0.194 H
0.158 0.857 0.694 H
0.168 0.706 0.436 H
0.168 0.794 0.936 H
0.333 0.507 0.096 H
0.333 0.993 0.596 H
0.392 0.674 0.467 H
0.392 0.826 0.967 H
0.397 0.135 0.797 H
0.397 0.365 0.297 H
0.603 0.635 0.703 H
0.603 0.865 0.203 H
0.608 0.174 0.033 H
0.608 0.326 0.533 H
0.667 0.007 0.404 H
0.667 0.493 0.904 H
0.832 0.206 0.064 H
0.832 0.294 0.564 H
0.842 0.143 0.306 H
0.842 0.357 0.806 H
0.847 0.595 0.100 H
0.847 0.905 0.600 H
0.035 0.116 0.906 O
0.035 0.384 0.406 O
0.055 0.236 0.181 O
0.055 0.264 0.681 O
0.284 0.670 0.508 O
0.284 0.830 0.008 O
0.343 0.550 0.790 O
0.343 0.950 0.290 O
0.426 0.208 0.099 O
0.426 0.292 0.599 O
0.574 0.708 0.401 O
0.574 0.792 0.901 O
0.657 0.050 0.710 O
0.657 0.450 0.210 O
0.716 0.170 0.992 O
0.716 0.330 0.492 O
0.945 0.736 0.319 O
0.945 0.764 0.819 O
0.965 0.616 0.594 O
0.965 0.884 0.094 O
```

Output
electronic total energy = -74.28 eV per formula unit
size of the total moment = 0.000 μB/atom
mass density = 2.537 g/cm3
D(E_F) = 0.0 states/eV/f.u.


No. 17
SmFePO: relaxed, PBEsol.

```
SmFePO
1.0
3.834 0.000 0.000
0.000 3.834 0.000
0.000 0.000 8.002
Sm Fe P O
2 2 2 2
Direct
0.250 0.250 0.149 Sm
0.750 0.750 0.851 Sm
0.250 0.750 0.500 Fe
0.750 0.250 0.500 Fe
0.250 0.250 0.632 P
0.750 0.750 0.368 P
0.250 0.750 0.000 O
0.750 0.250 0.000 O
```

Output
uncorrected formation energy = -2000 meV/atom
size of the total moment = 0.000 μB/atom
mass density = 7.150 g/cm3
D(E_F) = 1.8 states/eV/f.u.


No. 18
Al3Fe2Si3: relaxed, PBEsol.

```
Al3Fe2Si3
1.0
7.058 0.000 0.000
0.000 8.245 0.000
-6.131 0.000 14.250
Al Fe Si
24 16 24
Direct
0.007 0.049 0.332 Al
0.007 0.451 0.832 Al
0.009 0.705 0.323 Al
0.009 0.795 0.823 Al
0.124 0.623 0.676 Al
0.124 0.877 0.176 Al
0.397 0.614 0.444 Al
0.397 0.886 0.944 Al
0.399 0.137 0.450 Al
0.399 0.363 0.950 Al
0.422 0.123 0.721 Al
0.422 0.377 0.221 Al
0.578 0.623 0.779 Al
0.578 0.877 0.279 Al
0.601 0.637 0.050 Al
0.601 0.863 0.550 Al
0.603 0.114 0.056 Al
0.603 0.386 0.556 Al
0.876 0.123 0.824 Al
0.876 0.377 0.324 Al
0.991 0.205 0.177 Al
0.991 0.295 0.677 Al
0.993 0.549 0.168 Al
0.993 0.951 0.668 Al
0.202 0.627 0.965 Fe
0.202 0.873 0.465 Fe
0.203 0.124 0.969 Fe
0.203 0.376 0.469 Fe
0.326 0.637 0.271 Fe
0.326 0.863 0.771 Fe
0.330 0.117 0.273 Fe
0.330 0.383 0.773 Fe
0.670 0.617 0.227 Fe
0.670 0.883 0.727 Fe
0.674 0.137 0.229 Fe
0.674 0.363 0.729 Fe
0.797 0.624 0.531 Fe
0.797 0.876 0.031 Fe
0.798 0.127 0.535 Fe
0.798 0.373 0.035 Fe
0.110 0.627 0.511 Si
0.110 0.873 0.011 Si
0.138 0.121 0.533 Si
0.138 0.379 0.033 Si
0.239 0.125 0.828 Si
0.239 0.375 0.328 Si
0.317 0.622 0.849 Si
0.317 0.878 0.349 Si
0.331 0.649 0.124 Si
0.331 0.851 0.624 Si
0.332 0.106 0.127 Si
0.332 0.394 0.627 Si
0.668 0.606 0.373 Si
0.668 0.894 0.873 Si
0.669 0.149 0.376 Si
0.669 0.351 0.876 Si
0.683 0.122 0.651 Si
0.683 0.378 0.151 Si
0.761 0.625 0.672 Si
0.761 0.875 0.172 Si
0.862 0.621 0.967 Si
0.862 0.879 0.467 Si
0.890 0.127 0.989 Si
0.890 0.373 0.489 Si
```

Output
uncorrected formation energy = -426 meV/atom
size of the total moment = 0.000 μB/atom
mass density = 4.436 g/cm3
D(E_F) = 2.1 states/eV/f.u.